Density functional theory data (PBE+U) for a relaxed structure of Rb3CrAg2F9.

Values from the calculation:
VASP energy: -4.47 eV per atom

Unit cell a=6.2257 b=6.2257 c=7.6492 alpha=90.00 beta=90.00 gamma=120.00
Atoms (fractional coordinates):
Rb 0.0000 0.0000 0.0000
Rb 0.3333 0.6667 0.6838
Rb 0.6667 0.3333 0.3162
Cr 0.0000 0.0000 0.5000
Ag 0.3333 0.6667 0.1768
Ag 0.6667 0.3333 0.8232
F 0.0000 0.5000 0.0000
F 0.1491 0.2981 0.3532
F 0.1491 0.8509 0.3532
F 0.2981 0.1491 0.6468
F 0.5000 0.0000 0.0000
F 0.5000 0.5000 0.0000
F 0.7019 0.8509 0.3532
F 0.8509 0.1491 0.6468
F 0.8509 0.7019 0.6468